[1]
Compound: LiCaLuAu
Source: Alexandria
Functional: PBE
Structure: relaxed

Geometry as CIF:
```
data_LiCaLuAu
_chemical_formula_sum 'Li4 Ca4 Lu4 Au4'
_cell_length_a 7.177
_cell_length_b 7.177
_cell_length_c 7.177
_cell_angle_alpha 90.00
_cell_angle_beta 90.00
_cell_angle_gamma 90.00
_space_group_name_H-M_alt 'F -4 3 m'
_space_group_IT_number 216
_space_group_name_Hall 'F -4 2 3'
loop_
_atom_site_label
_atom_site_type_symbol
_atom_site_fract_x
_atom_site_fract_y
_atom_site_fract_z
_atom_site_occupancy
Li1 Li 0.000 0.000 0.000 1
Ca1 Ca 0.250 0.250 0.250 1
Lu1 Lu 0.250 0.250 0.750 1
Au1 Au 0.000 0.000 0.500 1
```

Summary:
Formation energy from the elements in kJ/mol of formula units: -153



[2]
Compound: LiCaMg2Au2
Source: Alexandria
Functional: PBE
Structure: relaxed

Geometry as CIF:
```
data_LiCaMg2Au2
_chemical_formula_sum 'Li1 Ca1 Mg2 Au2'
_cell_length_a 4.7049
_cell_length_b 4.7049
_cell_length_c 6.6427
_cell_angle_alpha 90.00
_cell_angle_beta 90.00
_cell_angle_gamma 120.00
_space_group_name_H-M_alt 'P -3 m 1'
_space_group_IT_number 164
_space_group_name_Hall '-P 3 2"'
loop_
_atom_site_label
_atom_site_type_symbol
_atom_site_fract_x
_atom_site_fract_y
_atom_site_fract_z
_atom_site_occupancy
Li1 Li 0.0000 0.0000 0.0000 1
Ca1 Ca 0.0000 0.0000 0.5000 1
Mg1 Mg 0.3333 0.6667 0.1757 1
Au1 Au 0.3333 0.6667 0.7588 1
```

Summary:
Formation energy from the elements in kJ/mol of formula units: -328



[3]
Compound: LiCaMg2Au4
Source: Alexandria
Functional: PBE
Structure: relaxed

Geometry as CIF:
```
data_LiCaMg2Au4
_chemical_formula_sum 'Li3 Ca3 Mg6 Au12'
_cell_length_a 4.6523
_cell_length_b 4.6523
_cell_length_c 25.0080
_cell_angle_alpha 90.00
_cell_angle_beta 90.00
_cell_angle_gamma 120.00
_space_group_name_H-M_alt 'R -3 m'
_space_group_IT_number 166
_space_group_name_Hall '-R 3 2"'
loop_
_atom_site_label
_atom_site_type_symbol
_atom_site_fract_x
_atom_site_fract_y
_atom_site_fract_z
_atom_site_occupancy
Li1 Li 0.0000 0.0000 0.0000 1
Ca1 Ca 0.0000 0.0000 0.5000 1
Mg1 Mg 0.0000 0.0000 0.2595 1
Au1 Au 0.0000 0.0000 0.1051 1
Au2 Au 0.0000 0.0000 0.3731 1
```

Summary:
Formation energy from the elements in kJ/mol of formula units: -479



[4]
Compound: LiCaMg2Au
Source: Alexandria
Functional: PBE
Structure: relaxed

Geometry as CIF:
```
data_LiCaMg2Au
_chemical_formula_sum 'Li1 Ca1 Mg2 Au1'
_cell_length_a 5.164
_cell_length_b 5.164
_cell_length_c 4.989
_cell_angle_alpha 90.00
_cell_angle_beta 90.00
_cell_angle_gamma 90.00
_space_group_name_H-M_alt 'P 4/m m m'
_space_group_IT_number 123
_space_group_name_Hall '-P 4 2'
loop_
_atom_site_label
_atom_site_type_symbol
_atom_site_fract_x
_atom_site_fract_y
_atom_site_fract_z
_atom_site_occupancy
Li1 Li 0.000 0.000 0.000 1
Ca1 Ca 0.500 0.500 0.000 1
Mg1 Mg 0.000 0.500 0.500 1
Au1 Au 0.000 0.000 0.500 1
```

Summary:
Formation energy from the elements in kJ/mol of formula units: -101



Number 1: M_tot 0.00 μB/f.u., theoretical density 7.5 g/cm3. Number 2: M_tot 0.00 μB/f.u., theoretical density 6.4 g/cm3. Number 3: M_tot 0.00 μB/f.u., theoretical density 9.4 g/cm3. Number 4: M_tot 0.00 μB/f.u., theoretical density 3.7 g/cm3.